A plane-wave DFT calculation with PBE was carried out for a relaxed structure of AcAlHg2.

ΔE_f = -0.3809 eV per atom
M_tot = 0.00 μB/atom
theoretical density = 10.10 Mg/m³

```
AcAlHg2
1.0
4.8047 0.0000 0.0000
0.0000 4.4468 -1.1200
0.0000 0.1641 10.0394
Hg Ac Al
4 2 2
Cartesian
1.2012 1.1994 4.7620
1.2012 2.4123 0.1899
3.6035 2.1986 8.7295
3.6035 3.4115 4.1574
3.6035 0.5331 2.1166
1.2012 4.0778 6.8028
3.6035 1.5536 6.1686
1.2012 3.0573 2.7508
```

A plane-wave DFT calculation with PBE was carried out for a relaxed structure of NaDy2Co.

E above lowest polymorph = 64 meV per atom
ΔE_f = 0.0335 eV per atom
M_tot = 0.00 μB/atom
theoretical density = 5.26 Mg/m³

```
NaDy2Co
1.0
-3.1480 -1.6164 1.3903
-1.0996 -3.4143 -1.2606
4.1482 -6.1853 7.4007
Dy Co Na
2 1 1
Cartesian
-2.2492 -6.6499 2.7722
2.1498 -4.5661 4.7582
-0.0497 -5.6080 3.7652
0.0000 0.0000 0.0000
```

A plane-wave DFT calculation with PBE was carried out for a relaxed structure of Na3La3BiS8.

M_tot = 0.00 μB/atom
theoretical density = 3.88 Mg/m³
energy relative to the elements, uncorrected = -22.32 eV/f.u.

```
Na3La3BiS8
1.0
-6.7631 4.3822 -2.2684
-0.3943 -8.3467 0.5000
0.6699 4.5782 6.8473
S La Na Bi
8 3 3 1
Cartesian
-5.2006 0.1704 0.3855
-1.7539 -1.9241 1.5123
-1.4510 2.2473 1.3120
-5.0366 -1.6335 3.7670
-1.2870 0.4433 4.6935
-4.7336 2.5378 3.5667
-4.9941 4.5431 0.1236
-1.4935 -3.9293 4.9554
0.1378 -1.8843 3.6737
-3.2438 0.3069 2.5395
-3.0466 4.4802 2.2895
-3.5787 -1.9822 -0.8842
-0.1972 -4.1734 0.2500
0.0000 0.0000 0.0000
0.3349 2.2891 3.4237
```

A plane-wave DFT calculation with PBE was carried out for a relaxed structure of TlPtSe4.

M_tot = 0.00 μB/atom
theoretical density = 8.76 Mg/m³
energy relative to the elements, uncorrected = 3.86 eV/f.u.

```
TlPtSe4
1.0
0.0000 4.0775 4.0775
4.0775 0.0000 4.0775
4.0775 4.0775 0.0000
Se Tl Pt
4 1 1
Cartesian
3.0300 3.0300 3.0300
3.0300 5.1250 5.1250
5.1250 3.0300 5.1250
5.1250 5.1250 3.0300
6.1163 6.1163 6.1163
0.0000 0.0000 0.0000
```

A plane-wave DFT calculation with PBE was carried out for a relaxed structure of ZrCuPt2.

ΔE_f = -0.5602 eV per atom
M_tot = 0.00 μB/atom
theoretical density = 13.72 Mg/m³

```
ZrCuPt2
1.0
-2.8122 1.8829 3.0180
-2.7988 -2.6132 2.4289
0.7203 -0.5795 4.4393
Pt Zr Cu
2 1 1
Cartesian
0.0000 0.0000 0.0000
-1.2227 -0.3275 2.4716
-3.6681 -0.9824 7.4147
-2.4454 -0.6549 4.9431
```

A plane-wave DFT calculation with PBE was carried out for a relaxed structure of Ac16Pr6Nd7.

ΔE_f = 0.1895 eV per atom
M_tot = 0.00 μB/atom
theoretical density = 7.32 Mg/m³

```
Ac16Pr6Nd7
1.0
5.3859 -10.3683 3.0438
7.5705 -5.3651 -7.7251
11.8485 -0.1961 2.3125
Ac Pr Nd
16 6 7
Cartesian
21.7094 -13.9416 -2.0733
12.8873 -4.1675 -3.3465
8.7150 -5.5967 -0.8323
11.5883 -7.1426 3.0570
16.0899 -10.3328 -1.5366
15.7605 -5.7133 0.5428
5.7929 -7.1806 1.2288
19.0120 -8.7489 -3.5977
9.0444 -10.2162 -2.9117
6.8870 -4.6749 -4.1645
9.0295 -2.0861 0.8625
13.2166 -8.7870 -5.4259
17.9179 -11.2546 1.7956
11.9176 -11.7620 0.9776
15.7754 -13.8434 -3.2314
3.0955 -1.9879 -0.2956
10.0969 -6.7244 -4.3052
14.7080 -9.2051 1.9364
12.6667 -11.6715 -2.8530
12.1382 -4.2581 0.4841
15.7503 -6.8179 -3.2019
9.0546 -9.1116 0.8330
3.7852 -2.6825 -3.8626
9.7095 -2.7806 -2.7063
8.6172 -5.2822 2.6781
0.0000 0.0000 0.0000
6.4782 -7.8667 -2.3407
5.9243 -0.0981 1.1562
2.6929 -5.1841 1.5219
```

A plane-wave DFT calculation with PBE was carried out for a relaxed structure of Sr2BrO.

E above lowest polymorph = 654 meV per atom
M_tot = 0.08 μB/atom
theoretical density = 4.96 Mg/m³
energy relative to the elements, uncorrected = -5.29 eV/f.u.

```
Sr2BrO
1.0
0.0000 3.5676 3.5676
3.5676 0.0000 3.5676
3.5676 3.5676 0.0000
O Br Sr
1 1 2
Cartesian
0.0000 0.0000 0.0000
3.5676 3.5676 3.5676
1.7838 1.7838 1.7838
5.3514 5.3514 5.3514
```

A plane-wave DFT calculation with PBE was carried out for a relaxed structure of BeInNiSb2.

M_tot = 0.00 μB/atom
theoretical density = 6.54 Mg/m³
energy relative to the elements, uncorrected = 1.41 eV/f.u.

```
BeInNiSb2
1.0
-4.1880 1.2119 -2.6494
-0.0955 -3.8362 -1.6039
-2.9111 -1.5543 3.8907
Be Sb In Ni
1 2 1 1
Cartesian
-0.0477 -1.9181 -0.8020
-2.0940 0.6060 -1.3247
-1.4555 -0.7771 1.9453
-3.5973 -2.0892 -0.1813
0.0000 0.0000 0.0000
```

V across the listed records, respectively: 215.4, 128.5, 406.7, 135.6, 65.9, 1244.5, 90.8, 108.2 Å³/cell.
DFT total energy across the listed records, respectively: -2.495, -4.374, -5.197, -3.081, -6.742, -4.217, -3.820, -3.816 eV/atom.